Crystalline SrHoPaO6 at its relaxed geometry. Source: Alexandria, functional PBE.

Properties
- Formation energy without anion corrections: -2421 kJ/mol of formula units
- Energy: -7.84 eV/atom

a b c (Å): 4.727 5.988 5.988
angles (deg): 120.00 90.00 90.00
Sites, in units of the cell vectors:
O (0.747, 0.301, 0.956)
O (0.253, 0.655, 0.956)
O (0.253, 0.044, 0.699)
O (0.747, 0.044, 0.345)
O (0.253, 0.301, 0.345)
O (0.747, 0.655, 0.699)
Sr (0.500, 0.667, 0.333)
Ho (0.500, 0.000, 0.000)
Pa (0.000, 0.333, 0.667)

Crystalline SrHoPa2O8 at its relaxed geometry. Source: Alexandria, functional PBE.

Properties
- Formation energy without anion corrections: -3885 kJ/mol of formula units
- Energy: -8.77 eV/atom

a b c (Å): 5.498 5.498 6.667
angles (deg): 114.35 114.35 90.00
Sites, in units of the cell vectors:
O (0.609, 0.639, 0.758)
O (0.361, 0.851, 0.242)
O (0.361, 0.391, 0.241)
O (0.149, 0.120, 0.758)
O (0.880, 0.391, 0.242)
O (0.609, 0.120, 0.759)
O (0.149, 0.639, 0.759)
O (0.880, 0.851, 0.241)
Sr (0.750, 0.250, 0.500)
Pa (0.250, 0.750, 0.500)
Pa (0.500, 0.500, 0.000)
Ho (0.000, 0.000, 0.000)

Crystalline Sr2HoPaO6 at its relaxed geometry. Source: Alexandria, functional PBE.

Properties
- Formation energy without anion corrections: -3274 kJ/mol of formula units
- Energy: -8.11 eV/atom

a b c (Å): 6.004 6.140 8.573
angles (deg): 90.00 90.13 90.00
Sites, in units of the cell vectors:
O (0.801, 0.791, 0.556)
O (0.301, 0.709, 0.056)
O (0.399, 0.961, 0.755)
O (0.199, 0.209, 0.444)
O (0.207, 0.199, 0.052)
O (0.601, 0.039, 0.245)
O (0.899, 0.539, 0.255)
O (0.293, 0.699, 0.448)
O (0.101, 0.461, 0.745)
O (0.707, 0.301, 0.552)
O (0.699, 0.291, 0.944)
O (0.793, 0.801, 0.948)
Sr (0.988, 0.043, 0.751)
Sr (0.488, 0.457, 0.251)
Sr (0.512, 0.543, 0.749)
Sr (0.012, 0.957, 0.249)
Pa (0.500, 0.000, 0.000)
Pa (0.000, 0.500, 0.500)
Ho (0.500, 0.000, 0.500)
Ho (0.000, 0.500, 0.000)

Crystalline Ho2PaTeO8 at its relaxed geometry. Source: Alexandria, functional PBE.

Properties
- Formation energy without anion corrections: -3249 kJ/mol of formula units
- Energy: -7.93 eV/atom

a b c (Å): 5.038 5.039 6.953
angles (deg): 90.00 90.00 91.86
Sites, in units of the cell vectors:
Pa (0.000, 0.000, 0.500)
Te (0.000, 0.000, 0.000)
Ho (0.500, 0.500, 0.756)
Ho (0.500, 0.500, 0.244)
O (0.291, 0.290, 0.000)
O (0.301, 0.300, 0.500)
O (0.816, 0.184, 0.763)
O (0.816, 0.184, 0.237)
O (0.184, 0.816, 0.237)
O (0.184, 0.816, 0.763)
O (0.709, 0.710, 0.000)
O (0.699, 0.700, 0.500)

no.,N(E_F) (states/eV/atom)
1,0.73
2,0.84
3,0.00
4,0.35